Entry 1:
IrW2Cl: relaxed, PBEsol.

abc: 4.145 2.784 10.412
angles: 90.00 90.00 90.00
Positions (direct):
Ir 0.000 0.000 0.000
Ir 0.000 0.500 0.500
W 0.000 0.000 0.743
W 0.000 0.500 0.243
W 0.500 0.000 0.401
W 0.500 0.500 0.901
Cl 0.500 0.000 0.631
Cl 0.500 0.500 0.131

Summary:
magnetization: 0.00 μB/atom
calculated total energy: -0.6929 Ry per atom
energy relative to the lowest polymorph listed for this composition: 140 meV/atom

Entry 2:
Ir2WCl: relaxed, PBEsol.

abc: 2.771 2.771 8.340
angles: 90.00 90.00 90.00
Positions (direct):
Ir 0.000 0.000 0.000
Ir 0.500 0.500 0.232
W 0.000 0.000 0.449
Cl 0.500 0.500 0.643

Summary:
magnetization: 0.00 μB/atom
calculated total energy: -0.6235 Ry per atom
energy relative to the lowest polymorph listed for this composition: 0 meV/atom

Entry 3:
IrWCl3: relaxed, PBEsol.

abc: 4.717 4.717 4.717
angles: 90.00 90.00 90.00
Positions (direct):
Ir 0.000 0.000 0.000
W 0.500 0.500 0.500
Cl 0.000 0.000 0.500
Cl 0.000 0.500 0.000
Cl 0.500 0.000 0.000

Summary:
magnetization: 0.92 μB/atom
calculated total energy: -0.3398 Ry per atom

Entry 4:
YIrCl2: relaxed, PBEsol.

abc: 3.862 3.862 9.497
angles: 90.00 90.00 90.00
Positions (direct):
Y 0.000 0.000 0.000
Y 0.500 0.500 0.500
Ir 0.000 0.500 0.750
Ir 0.500 0.000 0.250
Cl 0.000 0.000 0.500
Cl 0.000 0.500 0.250
Cl 0.500 0.000 0.750
Cl 0.500 0.500 0.000

Summary:
magnetization: 0.00 μB/atom
calculated total energy: -0.4191 Ry per atom
energy relative to the lowest polymorph listed for this composition: 0 meV/atom

Entry 5:
Y2IrCl: relaxed, PBEsol.

abc: 3.939 3.939 21.555
angles: 90.00 90.00 120.00
Positions (direct):
Y 0.000 0.000 0.235
Y 0.000 0.000 0.765
Y 0.333 0.667 0.432
Y 0.333 0.667 0.902
Y 0.667 0.333 0.098
Y 0.667 0.333 0.568
Ir 0.000 0.000 0.500
Ir 0.333 0.667 0.167
Ir 0.667 0.333 0.833
Cl 0.000 0.000 0.000
Cl 0.333 0.667 0.667
Cl 0.667 0.333 0.333

Summary:
magnetization: 0.00 μB/atom
calculated total energy: -0.5544 Ry per atom

Entry 6:
YIrCl2: relaxed, PBEsol.

abc: 4.246 4.246 3.871
angles: 90.00 90.00 90.00
Positions (direct):
Y 0.000 0.000 0.000
Ir 0.500 0.500 0.000
Cl 0.000 0.500 0.500
Cl 0.500 0.000 0.500

Summary:
magnetization: 0.00 μB/atom
calculated total energy: -0.4119 Ry per atom
energy relative to the lowest polymorph listed for this composition: 99 meV/atom

Entry 7:
ZnIrCl4: relaxed, PBEsol.

abc: 5.467 5.467 5.467
angles: 60.00 60.00 60.00
Positions (direct):
Zn 0.000 0.000 0.000
Ir 0.750 0.750 0.750
Cl 0.376 0.376 0.376
Cl 0.376 0.376 0.873
Cl 0.376 0.873 0.376
Cl 0.873 0.376 0.376

Summary:
magnetization: 0.15 μB/atom
calculated total energy: -0.1404 Ry per atom

Entry 8:
KCl2: relaxed, PBEsol.

abc: 5.533 5.533 5.771
angles: 90.00 90.00 120.00
Positions (direct):
K 0.333 0.667 0.250
K 0.667 0.333 0.750
Cl 0.000 0.000 0.000
Cl 0.000 0.000 0.500
Cl 0.333 0.667 0.750
Cl 0.667 0.333 0.250

Summary:
magnetization: 0.17 μB/atom
calculated total energy: -0.2029 Ry per atom

Entry 9:
KCl2: relaxed, PBEsol.

abc: 5.568 7.520 4.862
angles: 90.00 90.00 90.00
Positions (direct):
K 0.000 0.000 0.000
K 0.500 0.500 0.500
Cl 0.179 0.393 0.000
Cl 0.321 0.893 0.500
Cl 0.679 0.107 0.500
Cl 0.821 0.607 0.000

Summary:
magnetization: 0.33 μB/atom
calculated total energy: -0.2052 Ry per atom

Entry 10:
K3Cl: relaxed, PBEsol.

abc: 7.705 4.475 11.824
angles: 90.00 102.11 90.00
Positions (direct):
K 0.000 0.000 0.000
K 0.217 0.000 0.658
K 0.283 0.500 0.342
K 0.500 0.500 0.000
K 0.717 0.500 0.658
K 0.783 0.000 0.342
Cl 0.000 0.500 0.500
Cl 0.500 0.000 0.500

Summary:
magnetization: 0.00 μB/atom
calculated total energy: -0.1668 Ry per atom
energy relative to the lowest polymorph listed for this composition: 0 meV/atom

Which value of magnetization does entry 8 give? 0.17 μB/atom